Here is a relaxed structure of RbMg2I from Alexandria. Energies are from PBE.

The value obtained for the relative energy among the computed polymorphs is 0.00 eV/f.u. The density is 2.528 g/cm³. The value obtained for the total energy is -1.57 eV/atom. Its volume is 685.7 Å³/cell.

It has space group I-42d (No. 122), with a = 10.042 Å, b = 10.042 Å, c = 6.800 Å, α = 90.00°, β = 90.00° and γ = 90.00°. Symmetry generates all atoms from Rb at (0.000, 0.000, 0.000), Mg at (0.215, 0.750, 0.625) and I at (0.000, 0.000, 0.500).